VASP calculation (PBE) on an optimized crystal structure of Na2ZnCd2.

Cell lengths 8.1674, 8.1674, 8.1674 Å; angles 133.87, 61.28, 141.95 degrees
Fractional coordinates of all 10 atoms:
Na: 0.1036 0.1368 0.2404
Na: 0.3964 0.6368 0.0333
Na: 0.6036 0.3632 0.9667
Na: 0.8964 0.8632 0.7596
Zn: 0.2500 0.7500 0.5000
Zn: 0.7500 0.2500 0.5000
Cd: 0.1792 0.6299 0.8091
Cd: 0.3208 0.1299 0.4507
Cd: 0.6792 0.8701 0.5493
Cd: 0.8208 0.3701 0.1909

Summary:
energy of formation from the pure elements: 0.9 kJ per mole of atoms
symmetry: Ibam, No. 72

=====

VASP calculation (PBE) on an optimized crystal structure of PrGeN2.

Cell lengths 7.4930, 7.4930, 11.9679 Å; angles 110.62, 110.62, 60.69 degrees
Fractional coordinates of all 32 atoms:
Pr: 0.0480 0.7418 0.5606
Pr: 0.2582 0.9520 0.9394
Pr: 0.2593 0.4225 0.8506
Pr: 0.4225 0.2593 0.3506
Pr: 0.5775 0.7407 0.6494
Pr: 0.7407 0.5775 0.1494
Pr: 0.7418 0.0480 0.0606
Pr: 0.9520 0.2582 0.4394
Ge: 0.0584 0.7770 0.3249
Ge: 0.2230 0.9416 0.1751
Ge: 0.3146 0.4710 0.1257
Ge: 0.4710 0.3146 0.6257
Ge: 0.5290 0.6854 0.3743
Ge: 0.6854 0.5290 0.8743
Ge: 0.7770 0.0584 0.8249
Ge: 0.9416 0.2230 0.6751
N: 0.0141 0.9859 0.2500
N: 0.1199 0.5146 0.2073
N: 0.2291 0.3622 0.5015
N: 0.2684 0.6789 0.0495
N: 0.3211 0.7316 0.4505
N: 0.3622 0.2291 0.0015
N: 0.4198 0.5802 0.7500
N: 0.4854 0.8801 0.2927
N: 0.5146 0.1199 0.7073
N: 0.5802 0.4198 0.2500
N: 0.6378 0.7709 0.9985
N: 0.6789 0.2684 0.5495
N: 0.7316 0.3211 0.9505
N: 0.7709 0.6378 0.4985
N: 0.8801 0.4854 0.7927
N: 0.9859 0.0141 0.7500

Summary:
raw formation energy: -627 meV/atom
symmetry: C2/c, No. 15

=====

VASP calculation (PBE) on an optimized crystal structure of Ce2PdRh3.

Cell lengths 9.7965, 9.7398, 7.7498 Å; angles 67.01, 66.24, 46.74 degrees
Fractional coordinates of all 24 atoms:
Ce: 0.1885 0.2528 0.7717
Ce: 0.2283 0.7130 0.8115
Ce: 0.2528 0.1885 0.2870
Ce: 0.2870 0.7717 0.2528
Ce: 0.7130 0.2283 0.7472
Ce: 0.7472 0.8115 0.7130
Ce: 0.7717 0.2870 0.1885
Ce: 0.8115 0.7472 0.2283
Pd: 0.2422 0.5078 0.2422
Pd: 0.4922 0.7578 0.4922
Pd: 0.5078 0.2422 0.5078
Pd: 0.7578 0.4922 0.7578
Rh: 0.0000 0.0000 0.0000
Rh: 0.0000 0.0000 0.5000
Rh: 0.0000 0.5000 0.0000
Rh: 0.1173 0.1173 0.6327
Rh: 0.1499 0.6001 0.6001
Rh: 0.3673 0.3673 0.8827
Rh: 0.3999 0.8501 0.8501
Rh: 0.5000 0.0000 0.0000
Rh: 0.6001 0.1499 0.1499
Rh: 0.6327 0.6327 0.1173
Rh: 0.8501 0.3999 0.3999
Rh: 0.8827 0.8827 0.3673

Summary:
energy of formation from the pure elements: -55.9 kJ per mole of atoms
symmetry: Fddd, No. 70

=====

VASP calculation (PBE) on an optimized crystal structure of Pr2AlPd3.

Cell lengths 6.6282, 6.6282, 6.6282 Å; angles 141.26, 130.07, 64.93 degrees
Fractional coordinates of all 6 atoms:
Pr: 0.1833 0.1833 0.0000
Pr: 0.8167 0.8167 0.0000
Al: 0.5000 0.5000 0.0000
Pd: 0.0000 0.5000 0.5000
Pd: 0.3774 0.8774 0.5000
Pd: 0.6226 0.1226 0.5000

Summary:
energy of formation from the pure elements: -61.3 kJ per mole of atoms
symmetry: Immm, No. 71

=====

VASP calculation (PBE) on an optimized crystal structure of Mg8Al.

Cell lengths 7.0941, 7.0941, 7.0941 Å; angles 95.45, 95.45, 144.12 degrees
Fractional coordinates of all 9 atoms:
Mg: 0.0000 0.3292 0.3292
Mg: 0.0000 0.6708 0.6708
Mg: 0.3292 0.0000 0.3292
Mg: 0.3376 0.3376 0.6752
Mg: 0.3376 0.6624 0.0000
Mg: 0.6624 0.3376 0.0000
Mg: 0.6624 0.6624 0.3248
Mg: 0.6708 0.0000 0.6708
Al: 0.0000 0.0000 0.0000

Summary:
energy of formation from the pure elements: 0.7 kJ per mole of atoms
symmetry: I4/mmm, No. 139

=====

VASP calculation (PBE) on an optimized crystal structure of PmBi2Sb2Pd7.

Cell lengths 4.1404, 4.1404, 15.2992 Å; angles 94.51, 94.51, 89.92 degrees
Fractional coordinates of all 12 atoms:
Pm: 0.0000 0.0000 0.0000
Bi: 0.1279 0.1279 0.4070
Bi: 0.8721 0.8721 0.5930
Sb: 0.4276 0.4276 0.7492
Sb: 0.5724 0.5724 0.2508
Pd: 0.0409 0.5415 0.1417
Pd: 0.3641 0.3641 0.5754
Pd: 0.4585 0.9591 0.8583
Pd: 0.5000 0.5000 0.0000
Pd: 0.5415 0.0409 0.1417
Pd: 0.6359 0.6359 0.4246
Pd: 0.9591 0.4585 0.8583

Summary:
raw formation energy: -444 meV/atom
symmetry: C2/m, No. 12

=====

VASP calculation (PBE) on an optimized crystal structure of Li4TbAu5.

Cell lengths 3.3533, 3.3533, 15.4115 Å; angles 90.00, 90.00, 90.00 degrees
Fractional coordinates of all 10 atoms:
Li: 0.0000 0.0000 0.0928
Li: 0.0000 0.0000 0.2777
Li: 0.0000 0.0000 0.7223
Li: 0.0000 0.0000 0.9072
Tb: 0.0000 0.0000 0.5000
Au: 0.5000 0.5000 0.0000
Au: 0.5000 0.5000 0.1865
Au: 0.5000 0.5000 0.3740
Au: 0.5000 0.5000 0.6260
Au: 0.5000 0.5000 0.8135

Summary:
energy of formation from the pure elements: -57.0 kJ per mole of atoms
symmetry: P4/mmm, No. 123

=====

VASP calculation (PBE) on an optimized crystal structure of CrFeCo2.

Cell lengths 8.3262, 8.3262, 8.3262 Å; angles 17.17, 17.17, 17.17 degrees
Fractional coordinates of all 4 atoms:
Cr: 0.0000 0.0000 0.0000
Fe: 0.7513 0.7513 0.7513
Co: 0.2511 0.2511 0.2511
Co: 0.5006 0.5006 0.5006

Summary:
energy of formation from the pure elements: 10.5 kJ per mole of atoms
symmetry: R3m, No. 160